Entry from Alexandria: crystalline B2Br2O at its relaxed geometry (GGA-PBE).

Properties
**Energy above the most stable polymorph in this dataset**: 84 meV per atom
**Mass density**: 4.1 g/cm³
**Calculated volume**: 15.8 Å³ per atom
**Total magnetic moment**: 0.5 Bohr magnetons per cell
**Crystal system**: tetragonal
**VASP energy**: -2.65 eV/atom
**ΔE_f (raw)**: 1.683 eV/atom
**Space-group type**: P4/mbm
**N(E_F)**: 1.727 states/eV/f.u.

Lattice parameters (Å, degrees): 7.022 7.022 3.213 90.00 90.00 90.00
Element x y z (fractional)
B: 0.183 0.317 0.000
B: 0.317 0.817 0.000
B: 0.683 0.183 0.000
B: 0.817 0.683 0.000
Br: 0.179 0.679 0.500
Br: 0.321 0.179 0.500
Br: 0.679 0.821 0.500
Br: 0.821 0.321 0.500
O: 0.000 0.000 0.500
O: 0.500 0.500 0.500